(1)
KHf3Ir: optimized geometry, PBE.

Values from the calculation:
ΔE_f in eV per atom: 0.395
Mass density in Mg/m³: 9.2
Symmetry: Pm-3m, No. 221
V in Å³ per atom: 27.572
Crystal system: cubic

Cell: 5.166 5.166 5.166 Å, 90.00 90.00 90.00°
Atoms (fractional coordinates):
K 0.000 0.000 0.000
Hf 0.000 0.500 0.500
Hf 0.500 0.000 0.500
Hf 0.500 0.500 0.000
Ir 0.500 0.500 0.500

(2)
KHfIr3: optimized geometry, PBE.

Values from the calculation:
ΔE_f in eV per atom: 2.401
Mass density in Mg/m³: 13.3
Symmetry: Pm-3m, No. 221
V in Å³ per atom: 19.811
Crystal system: cubic

Cell: 4.627 4.627 4.627 Å, 90.00 90.00 90.00°
Atoms (fractional coordinates):
K 0.000 0.000 0.000
Hf 0.500 0.500 0.500
Ir 0.000 0.000 0.500
Ir 0.000 0.500 0.000
Ir 0.500 0.000 0.000

(3)
K3HfIr: optimized geometry, PBE.

Values from the calculation:
ΔE_f in eV per atom: 2.137
Mass density in Mg/m³: 3.0
Symmetry: Pm-3m, No. 221
V in Å³ per atom: 54.333
Crystal system: cubic

Cell: 6.477 6.477 6.477 Å, 90.00 90.00 90.00°
Atoms (fractional coordinates):
K 0.000 0.000 0.500
K 0.000 0.500 0.000
K 0.500 0.000 0.000
Hf 0.000 0.000 0.000
Ir 0.500 0.500 0.500

(4)
K2Hf2Ir: optimized geometry, PBE.

Values from the calculation:
ΔE_f in eV per atom: 0.962
Mass density in Mg/m³: 8.2
Symmetry: I4/mmm, No. 139
V in Å³ per atom: 25.427
Crystal system: tetragonal

Cell: 3.734 3.734 18.233 Å, 90.00 90.00 90.00°
Atoms (fractional coordinates):
K 0.000 0.500 0.250
K 0.000 0.500 0.750
K 0.500 0.000 0.250
K 0.500 0.000 0.750
Hf 0.000 0.000 0.071
Hf 0.000 0.000 0.929
Hf 0.500 0.500 0.429
Hf 0.500 0.500 0.571
Ir 0.000 0.000 0.500
Ir 0.500 0.500 0.000

(5)
K2Hf2Ir: optimized geometry, PBE.

Values from the calculation:
ΔE_f in eV per atom: 0.391
Mass density in Mg/m³: 6.7
Symmetry: P4/mbm, No. 127
V in Å³ per atom: 30.901
Crystal system: tetragonal

Cell: 6.818 6.818 6.648 Å, 90.00 90.00 90.00°
Atoms (fractional coordinates):
K 0.190 0.310 0.000
K 0.310 0.810 0.000
K 0.690 0.190 0.000
K 0.810 0.690 0.000
Hf 0.165 0.665 0.500
Hf 0.335 0.165 0.500
Hf 0.665 0.835 0.500
Hf 0.835 0.335 0.500
Ir 0.000 0.000 0.500
Ir 0.500 0.500 0.500

(6)
KHfIr3: optimized geometry, PBE.

Values from the calculation:
ΔE_f in eV per atom: 1.157
Mass density in Mg/m³: 10.8
Symmetry: Pm-3m, No. 221
V in Å³ per atom: 24.500
Crystal system: cubic

Cell: 4.966 4.966 4.966 Å, 90.00 90.00 90.00°
Atoms (fractional coordinates):
K 0.000 0.000 0.000
Hf 0.500 0.500 0.500
Ir 0.000 0.500 0.500
Ir 0.500 0.000 0.500
Ir 0.500 0.500 0.000

(7)
KLaHf2Ir: optimized geometry, PBE.

Values from the calculation:
ΔE_f in eV per atom: 2.017
Mass density in Mg/m³: 10.0
Symmetry: P4/mmm, No. 123
V in Å³ per atom: 24.040
Crystal system: tetragonal

Cell: 4.829 4.829 5.154 Å, 90.00 90.00 90.00°
Atoms (fractional coordinates):
K 0.000 0.000 0.000
La 0.000 0.000 0.500
Hf 0.000 0.500 0.000
Hf 0.500 0.000 0.000
Ir 0.500 0.500 0.500

(8)
KHfMg2Ir: optimized geometry, PBE.

Values from the calculation:
ΔE_f in eV per atom: 1.654
Mass density in Mg/m³: 6.6
Symmetry: P4/mmm, No. 123
V in Å³ per atom: 23.173
Crystal system: tetragonal

Cell: 4.813 4.813 5.001 Å, 90.00 90.00 90.00°
Atoms (fractional coordinates):
K 0.000 0.000 0.000
Hf 0.500 0.500 0.500
Mg 0.000 0.500 0.000
Mg 0.500 0.000 0.000
Ir 0.000 0.000 0.500